Entry 1:
# Rb4Ce3DyO8 GGA-PBE optimized geometry
data_Rb4Ce3DyO8
_chemical_formula_sum 'Rb12 Ce9 Dy3 O24'
_cell_length_a 7.2683
_cell_length_b 7.2683
_cell_length_c 19.7518
_cell_angle_alpha 90.00
_cell_angle_beta 90.00
_cell_angle_gamma 120.00
_space_group_name_H-M_alt 'R -3 m'
_space_group_IT_number 166
_space_group_name_Hall '-R 3 2"'
loop_
_atom_site_label
_atom_site_fract_x
_atom_site_fract_y
_atom_site_fract_z
Rb1 0.0000 0.0000 0.0000
Rb2 0.0000 0.5000 0.0000
Ce1 0.0000 0.5000 0.5000
Dy1 0.0000 0.0000 0.5000
O1 0.0000 0.0000 0.2261
O2 0.0079 0.5039 0.2253
# - DFT total energy: -321.213 eV/cell
# - Total moment: 9.0 μB per cell

***

Entry 2:
# BeAlSe2 GGA-PBE optimized geometry
data_BeAlSe2
_chemical_formula_sum 'Be1 Al1 Se2'
_cell_length_a 4.185
_cell_length_b 3.433
_cell_length_c 6.532
_cell_angle_alpha 90.00
_cell_angle_beta 103.31
_cell_angle_gamma 90.00
_space_group_name_H-M_alt 'P 1 2/m 1'
_space_group_IT_number 10
loop_
_space_group_symop_operation_xyz
'x,y,z'
'-x,-y,-z'
'-x,y,-z'
'x,-y,z'
loop_
_atom_site_label
_atom_site_fract_x
_atom_site_fract_y
_atom_site_fract_z
Be1 0.000 0.000 0.000
Al1 0.500 0.000 0.500
Se1 0.185 0.500 0.240
# - Total moment: 0.0 μB per cell
# - Distance to the lowest polymorph of the same formula: 1.08 eV per formula unit

***

Entry 3:
# Li2Pb3O4 GGA-PBE optimized geometry
data_Li2Pb3O4
_chemical_formula_sum 'Li8 Pb12 O16'
_cell_length_a 15.224
_cell_length_b 9.188
_cell_length_c 5.540
_cell_angle_alpha 90.00
_cell_angle_beta 107.73
_cell_angle_gamma 90.00
_space_group_name_H-M_alt 'C 1 2/c 1'
_space_group_IT_number 15
loop_
_space_group_symop_operation_xyz
'x,y,z'
'-x,-y,-z'
'-x,y,-z+1/2'
'x,-y,z+1/2'
'x+1/2,y+1/2,z'
'-x+1/2,-y+1/2,-z'
'-x+1/2,y+1/2,-z+1/2'
'x+1/2,-y+1/2,z+1/2'
loop_
_atom_site_label
_atom_site_fract_x
_atom_site_fract_y
_atom_site_fract_z
Li1 0.186 0.069 0.390
Pb1 0.000 0.344 0.250
Pb2 0.140 0.293 0.883
O1 0.106 0.203 0.493
O2 0.224 0.107 0.088
# - DFT total energy: -184.536 eV/cell
# - Total moment: 0.0 μB per cell